1.
A plane-wave DFT calculation with PBE was carried out for an optimized crystal structure of SrSm4Tl4.

Cell lengths 6.0545, 9.7462, 9.7462 Å; angles 90.00, 90.00, 90.00 degrees
Closest atoms and distances in Å follow each position.
Fractional positions:
Sr 0.0000 0.0000 0.0000  4 Tl 3.37, 4 Sm 3.55
Sr 0.5000 0.5000 0.5000  4 Tl 3.37, 4 Sm 3.55
Sm 0.3871 0.4166 0.8478  4 Tl 3.23-3.36, 1 Sm 3.38, 1 Sr 3.55
Sm 0.8871 0.6522 0.9166  4 Tl 3.23-3.36, 1 Sm 3.38, 1 Sr 3.55
Sm 0.3871 0.5834 0.1522  4 Tl 3.23-3.36, 1 Sm 3.38, 1 Sr 3.55
Sm 0.1129 0.0834 0.6522  4 Tl 3.23-3.36, 1 Sm 3.38, 1 Sr 3.55
Sm 0.6129 0.8478 0.5834  4 Tl 3.23-3.36, 1 Sm 3.38, 1 Sr 3.55
Sm 0.1129 0.9166 0.3478  4 Tl 3.23-3.36, 1 Sm 3.38, 1 Sr 3.55
Sm 0.8871 0.3478 0.0834  4 Tl 3.23-3.36, 1 Sm 3.38, 1 Sr 3.55
Sm 0.6129 0.1522 0.4166  4 Tl 3.23-3.36, 1 Sm 3.38, 1 Sr 3.55
Tl 0.6024 0.8896 0.2150  4 Sm 3.23-3.36, 3 Tl 3.33-3.55, 1 Sr 3.37
Tl 0.6024 0.1104 0.7850  4 Sm 3.23-3.36, 3 Tl 3.33-3.55, 1 Sr 3.37
Tl 0.1024 0.7150 0.6104  4 Sm 3.23-3.36, 3 Tl 3.33-3.55, 1 Sr 3.37
Tl 0.8976 0.3896 0.7150  4 Sm 3.23-3.36, 3 Tl 3.33-3.55, 1 Sr 3.37
Tl 0.8976 0.6104 0.2850  4 Sm 3.23-3.36, 3 Tl 3.33-3.55, 1 Sr 3.37
Tl 0.3976 0.2150 0.1104  4 Sm 3.23-3.36, 3 Tl 3.33-3.55, 1 Sr 3.37
Tl 0.3976 0.7850 0.8896  4 Sm 3.23-3.36, 3 Tl 3.33-3.55, 1 Sr 3.37
Tl 0.1024 0.2850 0.3896  4 Sm 3.23-3.36, 3 Tl 3.33-3.55, 1 Sr 3.37

Values from the calculation:
The final energy is -63.2 eV/cell. As for the magnetic moment: 0.00 μB per cell. The density of states at the Fermi level comes out at 7.856 states/eV/f.u. The value obtained for the calculated volume is 31.95 A^3/atom. For the formation energy from the elements, the calculation gives -174 meV/atom.

---

2.
A plane-wave DFT calculation with PBE was carried out for an optimized crystal structure of CsCdN.

Cell lengths 5.0711, 5.0698, 12.6149 Å; angles 52.64, 52.64, 46.03 degrees
Closest atoms and distances in Å follow each position.
Fractional positions:
Cd 0.2045 0.2042 0.9397  3 N 2.26-2.45
Cd 0.7955 0.7958 0.0603  3 N 2.26-2.45
Cs 0.3094 0.3094 0.3075  3 N 3.08-3.11, 1 Cd 3.41
Cs 0.6906 0.6906 0.6925  3 N 3.08-3.11, 1 Cd 3.41
N 0.1497 0.1498 0.1581  3 Cd 2.26-2.45
N 0.8503 0.8502 0.8419  3 Cd 2.26-2.45

Values from the calculation:
The final energy is -17.5 eV/cell. The calculation puts the formation energy without anion corrections at 1.35 eV/f.u. As for the magnetic moment: 0.00 μB per cell. The density of states at the Fermi level comes out at 0.718 states/eV/f.u. The value obtained for the calculated volume is 29.25 A^3/atom.

---

3.
A plane-wave DFT calculation with PBE was carried out for an optimized crystal structure of K2NpSiN4.

Cell lengths 5.9953, 6.5592, 7.0948 Å; angles 90.00, 90.00, 90.00 degrees
Closest atoms and distances in Å follow each position.
Fractional positions:
K 0.5000 0.2617 0.2314  7 N 2.82-3.07
K 0.5000 0.2617 0.7686  7 N 2.82-3.07
K 0.0000 0.7382 0.7314  7 N 2.82-3.07
K 0.0000 0.7382 0.2686  7 N 2.82-3.07
Np 0.0000 0.2270 0.5000  4 N 2.04-2.06
Np 0.5000 0.7730 0.0000  4 N 2.04-2.06
Si 0.5000 0.8712 0.5000  4 N 1.76-1.78
Si 0.0000 0.1288 0.0000  4 N 1.76-1.78
N 0.2368 0.9709 0.0000  1 Si 1.76
N 0.7368 0.0291 0.5000  1 Si 1.76
N 0.2631 0.0291 0.5000  1 Si 1.76
N 0.7631 0.9709 0.0000  1 Si 1.76
N 0.5000 0.7266 0.7130  1 Si 1.78
N 0.0000 0.2734 0.2130  1 Si 1.78
N 0.0000 0.2734 0.7870  1 Si 1.78
N 0.5000 0.7266 0.2870  1 Si 1.78

Values from the calculation:
The final energy is -115.7 eV/cell. The calculation puts the formation energy without anion corrections at -3.97 eV/f.u. As for the magnetic moment: 2.00 μB per cell. The density of states at the Fermi level comes out at 5.806 states/eV/f.u. The value obtained for the calculated volume is 17.44 A^3/atom.

---

4.
A plane-wave DFT calculation with PBE was carried out for an optimized crystal structure of La4PrTm2.

Cell lengths 12.7573, 12.7573, 6.9277 Å; angles 97.00, 97.00, 150.31 degrees
Closest atoms and distances in Å follow each position.
Fractional positions:
Pr 0.4211 0.6720 0.4978  4 Tm 3.48-3.67, 8 La 3.62-3.86
Pr 0.6720 0.4211 0.9978  4 Tm 3.48-3.67, 8 La 3.62-3.86
Tm 0.6236 0.3102 0.4498  2 Pr 3.50-3.66, 6 La 3.54-3.70, 2 Tm 3.67-3.70
Tm 0.9219 0.1068 0.0492  2 Pr 3.48-3.67, 6 La 3.53-3.72, 2 Tm 3.67-3.70
Tm 0.1068 0.9219 0.5492  2 Pr 3.48-3.67, 6 La 3.53-3.72, 2 Tm 3.67-3.70
Tm 0.3102 0.6236 0.9498  2 Pr 3.50-3.66, 6 La 3.54-3.70, 2 Tm 3.67-3.70
La 0.7212 0.1835 0.8726  6 La 3.42-3.81, 2 Tm 3.59-3.64, 2 Pr 3.62-3.75
La 0.1835 0.7212 0.3726  6 La 3.42-3.81, 2 Tm 3.59-3.64, 2 Pr 3.62-3.75
La 0.1880 0.7907 0.9098  5 La 3.42-3.81, 4 Tm 3.54-3.70, 1 Pr 3.70
La 0.7907 0.1880 0.4098  5 La 3.42-3.81, 4 Tm 3.54-3.70, 1 Pr 3.70
La 0.0288 0.1330 0.5931  5 La 3.43-3.81, 4 Tm 3.53-3.72, 1 Pr 3.70
La 0.5625 0.5979 0.1291  6 La 3.43-3.81, 2 Tm 3.60-3.64, 2 Pr 3.63-3.76
La 0.5979 0.5625 0.6291  6 La 3.43-3.81, 2 Tm 3.60-3.64, 2 Pr 3.63-3.76
La 0.1330 0.0288 0.0931  5 La 3.43-3.81, 4 Tm 3.53-3.72, 1 Pr 3.70

Values from the calculation:
The final energy is -65.9 eV/cell. The offset from the most stable computed form comes out at 0 meV/atom. As for the magnetic moment: 0.00 μB per cell. The density of states at the Fermi level comes out at 12.222 states/eV/f.u. The value obtained for the calculated volume is 35.09 A^3/atom. For the formation energy from the elements, the calculation gives 71 meV/atom.

---

5.
A plane-wave DFT calculation with PBE was carried out for an optimized crystal structure of Sr2Ag2SnO6.

Cell lengths 6.2653, 6.2653, 6.5417 Å; angles 61.39, 61.39, 60.00 degrees
Closest atoms and distances in Å follow each position.
Fractional positions:
Sr 0.7926 0.7926 0.6223  3 O 2.51
Sr 0.2074 0.2074 0.3777  3 O 2.51
Ag 0.4103 0.4103 0.7690  3 O 2.08
Ag 0.5897 0.5897 0.2310  3 O 2.08
Sn 0.0000 0.0000 0.0000  6 O 2.09
O 0.7718 0.7718 0.2592  1 Ag 2.08, 1 Sn 2.09
O 0.1971 0.7718 0.2592  1 Ag 2.08, 1 Sn 2.09
O 0.7718 0.1971 0.2592  1 Ag 2.08, 1 Sn 2.09
O 0.2282 0.8029 0.7408  1 Ag 2.08, 1 Sn 2.09
O 0.8029 0.2282 0.7408  1 Ag 2.08, 1 Sn 2.09
O 0.2282 0.2282 0.7408  1 Ag 2.08, 1 Sn 2.09

Values from the calculation:
The final energy is -57.0 eV/cell. The calculation puts the formation energy without anion corrections at -14.14 eV/f.u. As for the magnetic moment: 1.95 μB per cell. The density of states at the Fermi level comes out at 5.267 states/eV/f.u. The value obtained for the calculated volume is 16.84 A^3/atom.

---

6.
A plane-wave DFT calculation with PBE was carried out for an optimized crystal structure of LaZnB.

Cell lengths 4.4030, 4.4030, 4.4030 Å; angles 60.00, 60.00, 60.00 degrees
Closest atoms and distances in Å follow each position.
Fractional positions:
Zn 0.7500 0.7500 0.7500  4 B 2.70
B 0.0000 0.0000 0.0000  4 Zn 2.70, 4 La 2.70
La 0.2500 0.2500 0.2500  4 B 2.70

Values from the calculation:
The final energy is -12.8 eV/cell. The offset from the most stable computed form comes out at 313 meV/atom. As for the magnetic moment: 0.00 μB per cell. The density of states at the Fermi level comes out at 0.000 states/eV/f.u. The value obtained for the calculated volume is 20.12 A^3/atom. For the formation energy from the elements, the calculation gives 10 meV/atom.

---

7.
A plane-wave DFT calculation with PBE was carried out for an optimized crystal structure of ZnGa3W.

Cell lengths 4.6703, 4.6703, 4.6703 Å; angles 90.00, 90.00, 90.00 degrees
Closest atoms and distances in Å follow each position.
Fractional positions:
Zn 0.0000 0.0000 0.0000  6 Ga 2.34
Ga 0.0000 0.5000 0.0000  2 Zn 2.34
Ga 0.0000 0.0000 0.5000  2 Zn 2.34
Ga 0.5000 0.0000 0.0000  2 Zn 2.34
W 0.5000 0.5000 0.5000  12 Ga 3.30

Values from the calculation:
The final energy is -17.2 eV/cell. The offset from the most stable computed form comes out at 1064 meV/atom. As for the magnetic moment: 3.10 μB per cell. The density of states at the Fermi level comes out at 2.730 states/eV/f.u. The value obtained for the calculated volume is 20.37 A^3/atom. For the formation energy from the elements, the calculation gives 1224 meV/atom.

---

8.
A plane-wave DFT calculation with PBE was carried out for an optimized crystal structure of LiCa4Hg.

Cell lengths 6.9448, 6.9448, 6.9448 Å; angles 60.00, 60.00, 60.00 degrees
Closest atoms and distances in Å follow each position.
Fractional positions:
Li 0.0000 0.0000 0.0000  12 Ca 4.07, 4 Hg 4.25
Ca 0.8746 0.3751 0.3751  6 Ca 3.47-3.48
Ca 0.3751 0.3751 0.8746  6 Ca 3.47-3.48
Ca 0.3751 0.8746 0.3751  6 Ca 3.47-3.48
Ca 0.3751 0.3751 0.3751  6 Ca 3.47-3.48
Hg 0.7500 0.7500 0.7500  12 Ca 4.07, 4 Li 4.25

Values from the calculation:
The final energy is -8.6 eV/cell. The offset from the most stable computed form comes out at 460 meV/atom. As for the magnetic moment: 0.00 μB per cell. The density of states at the Fermi level comes out at 8.045 states/eV/f.u. The value obtained for the calculated volume is 39.47 A^3/atom. For the formation energy from the elements, the calculation gives 275 meV/atom.

---

9.
A plane-wave DFT calculation with PBE was carried out for an optimized crystal structure of Na2AlIn.

Cell lengths 5.1044, 4.4039, 4.4039 Å; angles 90.00, 90.00, 90.00 degrees
Closest atoms and distances in Å follow each position.
Fractional positions:
Na 0.0000 0.0000 0.5000  4 Na 3.11, 4 In 3.37, 4 Al 3.37
Na 0.0000 0.5000 0.0000  4 Na 3.11, 4 In 3.37, 4 Al 3.37
Al 0.5000 0.0000 0.0000  4 In 3.11, 8 Na 3.37
In 0.5000 0.5000 0.5000  4 Al 3.11, 8 Na 3.37

Values from the calculation:
The final energy is -8.9 eV/cell. The offset from the most stable computed form comes out at 64 meV/atom. As for the magnetic moment: 0.00 μB per cell. The density of states at the Fermi level comes out at 1.512 states/eV/f.u. The value obtained for the calculated volume is 24.75 A^3/atom. For the formation energy from the elements, the calculation gives 65 meV/atom.

---

10.
A plane-wave DFT calculation with PBE was carried out for an optimized crystal structure of PmDy2Zn2In2.

Cell lengths 4.7278, 4.7278, 9.5624 Å; angles 75.69, 75.69, 60.00 degrees
Closest atoms and distances in Å follow each position.
Fractional positions:
Pm 0.0000 0.0000 0.0000  6 Zn 3.34, 6 In 3.38, 2 Dy 3.53
Dy 0.1284 0.1284 0.6147  3 In 3.13, 3 Zn 3.17, 3 Dy 3.45
Dy 0.8716 0.8716 0.3853  3 In 3.13, 3 Zn 3.17, 3 Dy 3.45
Zn 0.5967 0.5967 0.2099  3 In 2.73
Zn 0.4033 0.4033 0.7901  3 In 2.73
In 0.7391 0.7391 0.7828  3 Zn 2.73
In 0.2609 0.2609 0.2172  3 Zn 2.73

Values from the calculation:
The final energy is -24.0 eV/cell. As for the magnetic moment: 0.00 μB per cell. The density of states at the Fermi level comes out at 3.469 states/eV/f.u. The value obtained for the calculated volume is 25.34 A^3/atom. For the formation energy from the elements, the calculation gives -289 meV/atom.